Density functional theory data (GGA-PBEsol) for Ta2MnRu after structural relaxation.

abc: 4.330 4.330 3.134
angles: 90.00 90.00 90.00
Fractional positions:
1 Ta 0.000 0.500 0.000
2 Ta 0.500 0.000 0.000
3 Mn 0.000 0.000 0.500
4 Ru 0.500 0.500 0.500

Summary:
- formation enthalpy at 0 K (eV per atom) = -0.2428
- final energy (eV per atom) = -11.502
- SG = P4/mmm (123)
- density (Mg/m³) = 14.6